(1)
7
Lattice="4.202 0.000 0.000 0.000 3.987 0.000 -2.101 -1.993 8.972" Properties=species:S:1:pos:R:3 comment="Ce3Ni2Ge2 (PBE-GGA, optimized geometry)" space_group="No. 71" e_form_ev_per_atom=-0.619 pbc="T T T"
Ge 0.000 1.993 2.470
Ge 2.101 0.000 6.502
Ce 0.000 0.000 0.000
Ce 0.000 1.993 5.697
Ce 2.101 0.000 3.275
Ni 2.101 1.993 1.205
Ni 0.000 0.000 7.767

(2)
3
Lattice="-0.991 -2.843 4.021 -0.041 -4.097 -2.906 4.849 2.937 0.133" Properties=species:S:1:pos:R:3 comment="RbBP (PBE-GGA, optimized geometry)" space_group="No. 107" e_form_ev_per_atom=0.714 polymorph_energy_ev_per_fu=2.83 pbc="T T T"
Rb 3.397 -3.951 1.181
P -0.120 -3.519 0.621
B 3.059 -0.376 0.488

(3)
4
Lattice="-0.912 3.844 3.889 -3.193 -5.178 0.707 1.629 -1.509 2.449" Properties=species:S:1:pos:R:3 comment="CaCd2Ag (PBE-GGA, optimized geometry)" space_group="No. 12" e_form_ev_per_atom=-0.073 pbc="T T T"
Ag -0.782 -3.344 1.578
Cd 0.359 1.167 3.169
Cd 0.000 0.000 0.000
Ca -2.052 -0.667 2.298

(4)
4
Lattice="-0.709 -5.482 1.050 4.149 -3.636 -1.105 2.802 -2.440 4.225" Properties=species:S:1:pos:R:3 comment="LaEuInPb (PBE-GGA, optimized geometry)" space_group="No. 216" e_form_ev_per_atom=-0.507 pbc="T T T"
Eu 0.000 0.000 0.000
La 3.121 -5.779 2.085
In 1.560 -2.890 1.043
Pb 4.681 -8.669 3.128

(5)
12
Lattice="-1.811 -7.136 0.364 3.936 -3.910 -5.099 6.691 -2.929 1.844" Properties=species:S:1:pos:R:3 comment="Pm6TlGe5 (PBE-GGA, optimized geometry)" space_group="No. 12" e_form_ev_per_atom=-0.614 pbc="T T T"
Ge 4.483 -7.778 -3.565
Ge 1.063 -5.523 -2.367
Ge 4.333 -6.197 0.675
Ge 7.062 -4.555 -2.191
Ge 3.565 -2.285 -1.064
Pm 7.397 -7.349 -3.360
Pm 4.732 -8.859 -0.830
Pm 1.531 -8.138 -3.450
Pm 0.595 -2.908 -1.284
Pm 4.085 -5.116 -2.061
Pm 1.420 -6.627 0.469
Tl 0.000 0.000 0.000

(6)
8
Lattice="-6.131 -1.403 0.614 1.112 -2.336 5.766 -1.064 5.762 2.539" Properties=species:S:1:pos:R:3 comment="CaCd (PBE-GGA, optimized geometry)" space_group="No. 136" e_form_ev_per_atom=-0.162 pbc="T T T"
Ca -0.341 -2.148 4.733
Ca -4.048 0.263 5.739
Ca -2.035 1.762 3.180
Ca -4.679 -1.590 1.647
Cd -5.309 1.304 2.847
Cd -3.448 -2.568 4.382
Cd -0.774 0.720 6.073
Cd -1.572 -1.170 1.998

(7)
18
Lattice="11.709 0.000 0.000 0.000 11.335 0.000 -5.855 -5.667 8.270" Properties=species:S:1:pos:R:3 comment="CsPmPbI6 (PBE-GGA, optimized geometry)" formation_energy_uncorrected_mev_per_atom=-1126 space_group="No. 74" pbc="T T T"
Pm -2.927 -2.834 4.135
Pm 2.927 -2.834 4.135
Pb 5.855 0.000 0.000
Pb 5.855 5.667 0.000
I 8.301 6.216 2.094
I 5.855 2.834 1.487
I -2.446 6.216 6.176
I 2.446 6.216 6.176
I 0.000 2.834 6.783
I 0.000 8.501 3.062
I 8.301 -0.549 2.094
I 5.855 -2.834 5.208
I 3.408 6.216 2.094
I 3.408 -0.549 2.094
I -2.446 -0.549 6.176
I 2.446 -0.549 6.176
Cs 0.000 2.834 2.986
Cs 5.855 2.834 5.284

(8)
11
Lattice="-1.310 -0.708 -5.633 7.493 -1.225 -0.149 -3.944 -5.714 3.075" Properties=species:S:1:pos:R:3 comment="Tb8TcRu2 (PBE-GGA, optimized geometry)" space_group="No. 8" e_form_ev_per_atom=-0.126 polymorph_energy_ev_per_fu=0.48 pbc="T T T"
Ru 3.343 -3.037 -1.978
Ru -1.049 -4.761 -0.740
Tb 3.737 -2.848 -5.054
Tb -2.820 -5.422 -3.205
Tb 1.235 -5.046 -2.643
Tb 1.050 -2.652 0.033
Tb 1.414 -1.272 -3.088
Tb -1.481 -2.408 -2.272
Tb 0.849 -6.382 0.546
Tb 3.783 -5.230 -0.281
Tc -0.061 -0.120 -0.383

no.,calculated density (g/cm3)
1,7.5
2,1.9
3,6.4
4,8.1
5,7.0
6,4.0
7,3.8
8,9.0